i:
# PBE AlZnGa2, relaxed
# Magnetic moment, μB/atom: 0.0000
data_AlZnGa2
_cell_length_a 4.1259
_cell_length_b 4.1259
_cell_length_c 15.3793
_cell_angle_alpha 90.00
_cell_angle_beta 90.00
_cell_angle_gamma 120.00
_space_group_name_H-M_alt 'R 3 m'
_space_group_IT_number 160
_space_group_name_Hall 'R 3 -2"'
loop_
_atom_site_label
_atom_site_type_symbol
_atom_site_fract_x
_atom_site_fract_y
_atom_site_fract_z
_atom_site_occupancy
Al1 Al 0.0000 0.0000 0.0000 1
Zn1 Zn 0.0000 0.0000 0.1779 1
Ga1 Ga 0.0000 0.0000 0.5867 1
Ga2 Ga 0.0000 0.0000 0.7646 1



ii:
# PBE AlZnGa2, relaxed
# Magnetic moment, μB/atom: 0.0000
data_AlZnGa2
_cell_length_a 10.939
_cell_length_b 5.070
_cell_length_c 5.076
_cell_angle_alpha 90.00
_cell_angle_beta 90.00
_cell_angle_gamma 90.00
_space_group_name_H-M_alt 'P n m a'
_space_group_IT_number 62
_space_group_name_Hall '-P 2ac 2n'
loop_
_atom_site_label
_atom_site_type_symbol
_atom_site_fract_x
_atom_site_fract_y
_atom_site_fract_z
_atom_site_occupancy
Al1 Al 0.000 0.250 0.235 1
Zn1 Zn 0.125 0.250 0.749 1
Ga1 Ga 0.123 0.750 0.267 1
Ga2 Ga 0.250 0.250 0.262 1



Least stable: i



i:
# PBE AlZnGa2, relaxed
# Magnetic moment, μB/atom: 0.0000
data_AlZnGa2
_cell_length_a 4.109
_cell_length_b 4.109
_cell_length_c 4.113
_cell_angle_alpha 90.00
_cell_angle_beta 90.00
_cell_angle_gamma 90.00
_space_group_name_H-M_alt 'P 4/m m m'
_space_group_IT_number 123
_space_group_name_Hall '-P 4 2'
loop_
_atom_site_label
_atom_site_type_symbol
_atom_site_fract_x
_atom_site_fract_y
_atom_site_fract_z
_atom_site_occupancy
Al1 Al 0.000 0.000 0.000 1
Zn1 Zn 0.500 0.500 0.000 1
Ga1 Ga 0.000 0.500 0.500 1



ii:
# PBE AlZnGa2, relaxed
# Magnetic moment, μB/atom: 0.0000
data_AlZnGa2
_cell_length_a 2.851
_cell_length_b 2.851
_cell_length_c 8.472
_cell_angle_alpha 90.00
_cell_angle_beta 90.00
_cell_angle_gamma 90.00
_space_group_name_H-M_alt 'P 4/m m m'
_space_group_IT_number 123
_space_group_name_Hall '-P 4 2'
loop_
_atom_site_label
_atom_site_type_symbol
_atom_site_fract_x
_atom_site_fract_y
_atom_site_fract_z
_atom_site_occupancy
Al1 Al 0.000 0.000 0.000 1
Zn1 Zn 0.000 0.000 0.500 1
Ga1 Ga 0.500 0.500 0.257 1



Least stable: i



i:
# PBE AlZnGa2, relaxed
# Magnetic moment, μB/atom: 0.0000
data_AlZnGa2
_cell_length_a 6.575
_cell_length_b 6.575
_cell_length_c 6.575
_cell_angle_alpha 90.00
_cell_angle_beta 90.00
_cell_angle_gamma 90.00
_space_group_name_H-M_alt 'F m -3 m'
_space_group_IT_number 225
_space_group_name_Hall '-F 4 2 3'
loop_
_atom_site_label
_atom_site_type_symbol
_atom_site_fract_x
_atom_site_fract_y
_atom_site_fract_z
_atom_site_occupancy
Al1 Al 0.000 0.000 0.000 1
Zn1 Zn 0.000 0.000 0.500 1
Ga1 Ga 0.250 0.250 0.250 1



ii:
# PBE AlZnGa2, relaxed
# Magnetic moment, μB/atom: 0.0000
data_AlZnGa2
_cell_length_a 7.405
_cell_length_b 7.405
_cell_length_c 5.456
_cell_angle_alpha 90.00
_cell_angle_beta 90.00
_cell_angle_gamma 90.00
_space_group_name_H-M_alt 'I -4 2 d'
_space_group_IT_number 122
_space_group_name_Hall 'I -4 2bw'
loop_
_atom_site_label
_atom_site_type_symbol
_atom_site_fract_x
_atom_site_fract_y
_atom_site_fract_z
_atom_site_occupancy
Al1 Al 0.000 0.000 0.000 1
Zn1 Zn 0.000 0.000 0.500 1
Ga1 Ga 0.241 0.250 0.625 1



Least stable: ii



i:
# PBE Al3Zn2Ga, relaxed
# Magnetic moment, μB/atom: 0.0000
data_Al3Zn2Ga
_cell_length_a 2.8554
_cell_length_b 2.8554
_cell_length_c 27.8944
_cell_angle_alpha 90.00
_cell_angle_beta 90.00
_cell_angle_gamma 120.00
_space_group_name_H-M_alt 'P 63/m m c'
_space_group_IT_number 194
_space_group_name_Hall '-P 6c 2c'
loop_
_atom_site_label
_atom_site_type_symbol
_atom_site_fract_x
_atom_site_fract_y
_atom_site_fract_z
_atom_site_occupancy
Al1 Al 0.0000 0.0000 0.0000 1
Al2 Al 0.3333 0.6667 0.1634 1
Zn1 Zn 0.3333 0.6667 0.5815 1
Ga1 Ga 0.0000 0.0000 0.2500 1



ii:
# PBE Al3Zn2Ga, relaxed
# Magnetic moment, μB/atom: 0.0000
data_Al3Zn2Ga
_cell_length_a 9.008
_cell_length_b 4.094
_cell_length_c 5.626
_cell_angle_alpha 90.00
_cell_angle_beta 108.32
_cell_angle_gamma 90.00
_space_group_name_H-M_alt 'C 1 2/m 1'
_space_group_IT_number 12
_space_group_name_Hall '-C 2y'
loop_
_atom_site_label
_atom_site_type_symbol
_atom_site_fract_x
_atom_site_fract_y
_atom_site_fract_z
_atom_site_occupancy
Al1 Al 0.000 0.000 0.000 1
Al2 Al 0.168 0.500 0.834 1
Zn1 Zn 0.166 0.500 0.331 1
Ga1 Ga 0.000 0.000 0.500 1



Least stable: ii



i:
# PBE Al3Zn3Ga2, relaxed
# Magnetic moment, μB/atom: 0.0000
data_Al3Zn3Ga2
_cell_length_a 16.083
_cell_length_b 4.022
_cell_length_c 4.196
_cell_angle_alpha 90.00
_cell_angle_beta 102.09
_cell_angle_gamma 90.00
_space_group_name_H-M_alt 'C 1 2/m 1'
_space_group_IT_number 12
_space_group_name_Hall '-C 2y'
loop_
_atom_site_label
_atom_site_type_symbol
_atom_site_fract_x
_atom_site_fract_y
_atom_site_fract_z
_atom_site_occupancy
Al1 Al 0.000 0.000 0.000 1
Al2 Al 0.123 0.000 0.615 1
Zn1 Zn 0.000 0.500 0.500 1
Zn2 Zn 0.120 0.500 0.113 1
Ga1 Ga 0.249 0.000 0.246 1



ii:
# PBE Al3Zn3Ga2, relaxed
# Magnetic moment, μB/atom: 0.0000
data_Al3Zn3Ga2
_cell_length_a 3.972
_cell_length_b 11.860
_cell_length_c 11.894
_cell_angle_alpha 90.00
_cell_angle_beta 90.00
_cell_angle_gamma 90.00
_space_group_name_H-M_alt 'C m c m'
_space_group_IT_number 63
_space_group_name_Hall '-C 2c 2'
loop_
_atom_site_label
_atom_site_type_symbol
_atom_site_fract_x
_atom_site_fract_y
_atom_site_fract_z
_atom_site_occupancy
Al1 Al 0.000 0.084 0.087 1
Al2 Al 0.000 0.266 0.250 1
Zn1 Zn 0.000 0.403 0.750 1
Zn2 Zn 0.000 0.432 0.097 1
Ga1 Ga 0.000 0.229 0.588 1



Least stable: ii



i:
# PBE Al4ZnGa5, relaxed
# Magnetic moment, μB/atom: 0.0000
data_Al4ZnGa5
_cell_length_a 8.361
_cell_length_b 8.361
_cell_length_c 5.250
_cell_angle_alpha 90.00
_cell_angle_beta 90.00
_cell_angle_gamma 90.00
_space_group_name_H-M_alt 'I 4'
_space_group_IT_number 79
_space_group_name_Hall 'I 4'
loop_
_atom_site_label
_atom_site_type_symbol
_atom_site_fract_x
_atom_site_fract_y
_atom_site_fract_z
_atom_site_occupancy
Al1 Al 0.133 0.244 0.000 1
Zn1 Zn 0.000 0.000 0.258 1
Ga1 Ga 0.000 0.000 0.732 1
Ga2 Ga 0.056 0.325 0.498 1



ii:
# PBE Al4ZnGa5, relaxed
# Magnetic moment, μB/atom: 0.0000
data_Al4ZnGa5
_cell_length_a 4.138
_cell_length_b 7.198
_cell_length_c 7.342
_cell_angle_alpha 61.95
_cell_angle_beta 74.17
_cell_angle_gamma 75.03
_space_group_name_H-M_alt 'P -1'
_space_group_IT_number 2
_space_group_name_Hall '-P 1'
loop_
_atom_site_label
_atom_site_type_symbol
_atom_site_fract_x
_atom_site_fract_y
_atom_site_fract_z
_atom_site_occupancy
Al1 Al 0.027 0.223 0.238 1
Al2 Al 0.321 0.930 0.918 1
Zn1 Zn 0.500 0.000 0.500 1
Ga1 Ga 0.174 0.771 0.377 1
Ga2 Ga 0.179 0.381 0.775 1
Ga3 Ga 0.500 0.500 0.000 1



Least stable: i



i:
# PBE Al4Zn2Ga5, relaxed
# Magnetic moment, μB/atom: 0.0000
data_Al4Zn2Ga5
_cell_length_a 2.798
_cell_length_b 7.093
_cell_length_c 9.857
_cell_angle_alpha 77.00
_cell_angle_beta 82.81
_cell_angle_gamma 89.42
_space_group_name_H-M_alt 'P -1'
_space_group_IT_number 2
_space_group_name_Hall '-P 1'
loop_
_atom_site_label
_atom_site_type_symbol
_atom_site_fract_x
_atom_site_fract_y
_atom_site_fract_z
_atom_site_occupancy
Al1 Al 0.053 0.366 0.400 1
Al2 Al 0.225 0.819 0.054 1
Zn1 Zn 0.306 0.532 0.873 1
Ga1 Ga 0.149 0.109 0.214 1
Ga2 Ga 0.408 0.275 0.677 1
Ga3 Ga 0.500 0.000 0.500 1



ii:
# PBE Al4Zn2Ga5, relaxed
# Magnetic moment, μB/atom: 0.0000
data_Al4Zn2Ga5
_cell_length_a 2.867
_cell_length_b 8.410
_cell_length_c 16.900
_cell_angle_alpha 90.00
_cell_angle_beta 90.00
_cell_angle_gamma 90.00
_space_group_name_H-M_alt 'I m m m'
_space_group_IT_number 71
_space_group_name_Hall '-I 2 2'
loop_
_atom_site_label
_atom_site_type_symbol
_atom_site_fract_x
_atom_site_fract_y
_atom_site_fract_z
_atom_site_occupancy
Al1 Al 0.000 0.000 0.087 1
Al2 Al 0.000 0.274 0.500 1
Zn1 Zn 0.000 0.000 0.357 1
Ga1 Ga 0.000 0.302 0.315 1
Ga2 Ga 0.000 0.500 0.000 1



Least stable: ii



i:
# PBE AlZn2Ga5, relaxed
# Magnetic moment, μB/atom: 0.0000
data_AlZn2Ga5
_cell_length_a 5.528
_cell_length_b 5.618
_cell_length_c 5.708
_cell_angle_alpha 62.74
_cell_angle_beta 66.53
_cell_angle_gamma 89.97
_space_group_name_H-M_alt 'P 1'
_space_group_IT_number 1
_space_group_name_Hall 'P 1'
loop_
_atom_site_label
_atom_site_type_symbol
_atom_site_fract_x
_atom_site_fract_y
_atom_site_fract_z
_atom_site_occupancy
Al1 Al 0.000 0.000 0.000 1
Zn1 Zn 0.000 0.500 0.499 1
Zn2 Zn 0.499 0.500 0.001 1
Ga1 Ga 0.498 0.000 0.501 1
Ga2 Ga 0.500 0.001 0.000 1
Ga3 Ga 0.500 0.501 0.500 1
Ga4 Ga 0.998 0.000 0.501 1
Ga5 Ga 0.999 0.500 0.000 1



ii:
# PBE AlZn2Ga5, relaxed
# Magnetic moment, μB/atom: 0.0000
data_AlZn2Ga5
_cell_length_a 6.693
_cell_length_b 6.693
_cell_length_c 13.092
_cell_angle_alpha 90.00
_cell_angle_beta 90.00
_cell_angle_gamma 90.00
_space_group_name_H-M_alt 'I 4/m c m'
_space_group_IT_number 140
_space_group_name_Hall '-I 4 2c'
loop_
_atom_site_label
_atom_site_type_symbol
_atom_site_fract_x
_atom_site_fract_y
_atom_site_fract_z
_atom_site_occupancy
Al1 Al 0.000 0.000 0.250 1
Zn1 Zn 0.139 0.361 0.000 1
Ga1 Ga 0.000 0.000 0.000 1
Ga2 Ga 0.155 0.345 0.343 1



Least stable: ii



i:
# PBE AlZnGa5, relaxed
# Magnetic moment, μB/atom: 0.0000
data_AlZnGa5
_cell_length_a 5.946
_cell_length_b 6.058
_cell_length_c 7.636
_cell_angle_alpha 90.00
_cell_angle_beta 90.00
_cell_angle_gamma 90.00
_space_group_name_H-M_alt 'I m m 2'
_space_group_IT_number 44
_space_group_name_Hall 'I 2 -2'
loop_
_atom_site_label
_atom_site_type_symbol
_atom_site_fract_x
_atom_site_fract_y
_atom_site_fract_z
_atom_site_occupancy
Al1 Al 0.000 0.000 0.000 1
Zn1 Zn 0.000 0.500 0.423 1
Ga1 Ga 0.000 0.000 0.335 1
Ga2 Ga 0.000 0.294 0.749 1
Ga3 Ga 0.214 0.500 0.097 1



ii:
# PBE AlZnGa5, relaxed
# Magnetic moment, μB/atom: 0.0000
data_AlZnGa5
_cell_length_a 4.228
_cell_length_b 4.228
_cell_length_c 7.314
_cell_angle_alpha 90.00
_cell_angle_beta 90.00
_cell_angle_gamma 90.00
_space_group_name_H-M_alt 'P 4/m m m'
_space_group_IT_number 123
_space_group_name_Hall '-P 4 2'
loop_
_atom_site_label
_atom_site_type_symbol
_atom_site_fract_x
_atom_site_fract_y
_atom_site_fract_z
_atom_site_occupancy
Al1 Al 0.000 0.000 0.000 1
Zn1 Zn 0.000 0.000 0.500 1
Ga1 Ga 0.000 0.500 0.273 1
Ga2 Ga 0.500 0.500 0.000 1



Least stable: i



i:
# PBE Al3ZnGa, relaxed
# Magnetic moment, μB/atom: 0.0000
data_Al3ZnGa
_cell_length_a 4.769
_cell_length_b 5.910
_cell_length_c 6.320
_cell_angle_alpha 90.00
_cell_angle_beta 104.73
_cell_angle_gamma 90.00
_space_group_name_H-M_alt 'P 1 21/m 1'
_space_group_IT_number 11
_space_group_name_Hall '-P 2yb'
loop_
_atom_site_label
_atom_site_type_symbol
_atom_site_fract_x
_atom_site_fract_y
_atom_site_fract_z
_atom_site_occupancy
Al1 Al 0.123 0.250 0.242 1
Al2 Al 0.311 0.502 0.628 1
Zn1 Zn 0.493 0.750 0.998 1
Ga1 Ga 0.097 0.750 0.223 1



ii:
# PBE Al3ZnGa, relaxed
# Magnetic moment, μB/atom: 0.0000
data_Al3ZnGa
_cell_length_a 17.296
_cell_length_b 4.364
_cell_length_c 5.108
_cell_angle_alpha 90.00
_cell_angle_beta 103.36
_cell_angle_gamma 90.00
_space_group_name_H-M_alt 'C 1 2/m 1'
_space_group_IT_number 12
_space_group_name_Hall '-C 2y'
loop_
_atom_site_label
_atom_site_type_symbol
_atom_site_fract_x
_atom_site_fract_y
_atom_site_fract_z
_atom_site_occupancy
Al1 Al 0.119 0.000 0.328 1
Al2 Al 0.122 0.500 0.983 1
Al3 Al 0.210 0.000 0.868 1
Zn1 Zn 0.200 0.500 0.526 1
Ga1 Ga 0.041 0.000 0.771 1



Least stable: ii



i:
# PBE Al12Zn6Ga, relaxed
# Magnetic moment, μB/atom: 0.0000
data_Al12Zn6Ga
_cell_length_a 12.3217
_cell_length_b 12.3217
_cell_length_c 7.0341
_cell_angle_alpha 90.00
_cell_angle_beta 90.00
_cell_angle_gamma 120.00
_space_group_name_H-M_alt 'R -3'
_space_group_IT_number 148
_space_group_name_Hall '-R 3'
loop_
_atom_site_label
_atom_site_type_symbol
_atom_site_fract_x
_atom_site_fract_y
_atom_site_fract_z
_atom_site_occupancy
Al1 Al 0.0154 0.8750 0.1643 1
Al2 Al 0.0672 0.5054 0.1674 1
Zn1 Zn 0.0346 0.7550 0.8308 1
Ga1 Ga 0.0000 0.0000 0.5000 1



ii:
# PBE Al12Zn6Ga, relaxed
# Magnetic moment, μB/atom: 0.0000
data_Al12Zn6Ga
_cell_length_a 11.1363
_cell_length_b 11.1363
_cell_length_c 10.2234
_cell_angle_alpha 90.00
_cell_angle_beta 90.00
_cell_angle_gamma 120.00
_space_group_name_H-M_alt 'R -3'
_space_group_IT_number 148
_space_group_name_Hall '-R 3'
loop_
_atom_site_label
_atom_site_type_symbol
_atom_site_fract_x
_atom_site_fract_y
_atom_site_fract_z
_atom_site_occupancy
Al1 Al 0.0481 0.7996 0.4248 1
Al2 Al 0.0495 0.8071 0.9232 1
Zn1 Zn 0.0422 0.8237 0.1772 1
Ga1 Ga 0.0000 0.0000 0.5000 1



Least stable: ii